(1)
First-principles (PBE) data for a relaxed structure of Cs2TiO4, as listed in Alexandria via LeMat-Bulk.

Lattice parameters (Å, degrees): 4.090 4.090 15.954 90.00 90.00 90.00
Space group I4/mmm (No. 139)
Symmetry-distinct sites (fractional):
Cs (0.000, 0.000, 0.154) x4
Ti (0.000, 0.000, 0.500) x2
O (0.000, 0.000, 0.381) x4
O (0.000, 0.500, 0.000) x4

- ΔE_f (raw) (meV/atom) = -1747
- E (eV/atom) = -5.952

***

(2)
First-principles (PBE) data for a relaxed structure of Cs5TiO4, as listed in Alexandria via LeMat-Bulk.

Lattice parameters (Å, degrees): 8.292 10.570 6.849 90.00 90.00 90.00
Space group Pmmn (No. 59, origin choice 2)
Symmetry-distinct sites (fractional):
Cs (0.010, 0.071, 0.248) x8
Cs (0.250, 0.750, 0.251) x2
Ti (0.250, 0.250, 0.756) x2
O (0.067, 0.250, 0.599) x4
O (0.250, 0.105, 0.911) x4

- ΔE_f (raw) (meV/atom) = -1689
- E (eV/atom) = -4.889

***

(3)
First-principles (PBE) data for a relaxed structure of CsTiO2, as listed in Alexandria via LeMat-Bulk.

Lattice parameters (Å, degrees): 6.181 6.181 6.181 90.00 90.00 90.00
Space group Fm-3m (No. 225)
Symmetry-distinct sites (fractional):
Cs (0.000, 0.000, 0.000) x4
Ti (0.000, 0.000, 0.500) x4
O (0.250, 0.250, 0.250) x8

- ΔE_f (raw) (meV/atom) = -505
- E (eV/atom) = -5.171

***

(4)
First-principles (PBE) data for a relaxed structure of CsTiO3, as listed in Alexandria via LeMat-Bulk.

Lattice parameters (Å, degrees): 4.033 5.956 7.437 90.00 105.69 90.00
Space group P2_1/m (No. 11)
Symmetry-distinct sites (fractional):
Cs (0.199, 0.250, 0.400) x2
Ti (0.482, 0.250, 0.964) x2
O (0.014, 0.750, 0.028) x2
O (0.409, 0.506, 0.817) x4

- ΔE_f (raw) (meV/atom) = -2128
- E (eV/atom) = -6.852

***

(5)
First-principles (PBE) data for a relaxed structure of Cs5Ti2O6, as listed in Alexandria via LeMat-Bulk.

Lattice parameters (Å, degrees): 11.586 7.604 15.773 90.00 99.88 90.00
Space group C2/c (No. 15)
Symmetry-distinct sites (fractional):
Cs (0.000, 0.086, 0.250) x4
Cs (0.064, 0.238, 0.993) x8
Cs (0.152, 0.453, 0.710) x8
Ti (0.225, 0.351, 0.426) x8
O (0.078, 0.414, 0.376) x8
O (0.163, 0.079, 0.635) x8
O (0.236, 0.099, 0.452) x8

- ΔE_f (raw) (meV/atom) = -2129
- E (eV/atom) = -5.961

***

(6)
First-principles (PBE) data for a relaxed structure of CsTiO3, as listed in Alexandria via LeMat-Bulk.

Lattice parameters (Å, degrees): 4.106 4.106 4.106 90.00 90.00 90.00
Space group Pm-3m (No. 221)
Symmetry-distinct sites (fractional):
Cs (0.000, 0.000, 0.000) x1
Ti (0.500, 0.500, 0.500) x1
O (0.000, 0.500, 0.500) x3

- ΔE_f (raw) (meV/atom) = -1951
- E (eV/atom) = -6.675

***

(7)
First-principles (PBE) data for a relaxed structure of Cs3Ti5O12, as listed in Alexandria via LeMat-Bulk.

Lattice parameters (Å, degrees): 13.511 13.511 13.511 90.00 90.00 90.00
Space group Ia-3d (No. 230)
Symmetry-distinct sites (fractional):
Cs (0.000, 0.250, 0.125) x24
Ti (0.000, 0.000, 0.000) x16
Ti (0.000, 0.250, 0.375) x24
O (0.029, 0.141, 0.954) x96

- ΔE_f (raw) (meV/atom) = -2442
- E (eV/atom) = -7.518

***

(8)
First-principles (PBE) data for a relaxed structure of CsTi3O, as listed in Alexandria via LeMat-Bulk.

Lattice parameters (Å, degrees): 4.955 4.955 4.955 90.00 90.00 90.00
Space group Pm-3m (No. 221)
Symmetry-distinct sites (fractional):
Cs (0.000, 0.000, 0.000) x1
Ti (0.000, 0.000, 0.500) x3
O (0.500, 0.500, 0.500) x1

- ΔE_f (raw) (meV/atom) = 2440
- E (eV/atom) = -3.459
- excess energy over the best structure of this formula in the dataset (meV/atom) = 2312.3

***

(9)
First-principles (PBE) data for a relaxed structure of Cs6Ti2O7, as listed in Alexandria via LeMat-Bulk.

Lattice parameters (Å, degrees): 7.296 10.092 12.374 90.00 124.35 90.00
Space group P2_1/c (No. 14)
Symmetry-distinct sites (fractional):
Cs (0.041, 0.149, 0.420) x4
Cs (0.204, 0.528, 0.451) x4
Cs (0.401, 0.214, 0.278) x4
Ti (0.323, 0.635, 0.874) x4
O (0.071, 0.663, 0.869) x4
O (0.256, 0.587, 0.713) x4
O (0.493, 0.715, 0.427) x4
O (0.500, 0.000, 0.500) x2

- ΔE_f (raw) (meV/atom) = -2184
- E (eV/atom) = -5.892

***

(10)
First-principles (PBE) data for a relaxed structure of Cs4TiO4, as listed in Alexandria via LeMat-Bulk.

Lattice parameters (Å, degrees): 8.346 8.346 6.498 90.00 90.00 90.00
Space group P4_2/nmc (No. 137, origin choice 2)
Symmetry-distinct sites (fractional):
Cs (0.033, 0.250, 0.123) x8
Ti (0.250, 0.750, 0.250) x2
O (0.070, 0.750, 0.418) x8

- ΔE_f (raw) (meV/atom) = -1957
- E (eV/atom) = -5.418

***

(11)
First-principles (PBE) data for a relaxed structure of CsTi3O, as listed in Alexandria via LeMat-Bulk.

Lattice parameters (Å, degrees): 4.388 4.388 4.388 90.00 90.00 90.00
Space group Pm-3m (No. 221)
Symmetry-distinct sites (fractional):
Cs (0.000, 0.000, 0.000) x1
Ti (0.000, 0.500, 0.500) x3
O (0.500, 0.500, 0.500) x1

- ΔE_f (raw) (meV/atom) = 128
- E (eV/atom) = -5.772
- excess energy over the best structure of this formula in the dataset (meV/atom) = 0.0

***

(12)
First-principles (PBE) data for a relaxed structure of CsTiTl2O6, as listed in Alexandria via LeMat-Bulk.

Lattice parameters (Å, degrees): 9.751 13.360 7.111 90.00 114.26 90.00
Space group C2/c (No. 15)
Symmetry-distinct sites (fractional):
Cs (0.000, 0.105, 0.250) x4
Ti (0.000, 0.195, 0.750) x4
Tl (0.125, 0.413, 0.135) x8
O (0.071, 0.265, 0.988) x8
O (0.115, 0.445, 0.453) x8
O (0.139, 0.104, 0.733) x8

- ΔE_f (raw) (meV/atom) = -1357
- E (eV/atom) = -5.680

***

(13)
First-principles (PBE) data for a relaxed structure of CsTiTlO3, as listed in Alexandria via LeMat-Bulk.

Lattice parameters (Å, degrees): 7.168 13.711 5.478 90.00 103.25 90.00
Space group C2/c (No. 15)
Symmetry-distinct sites (fractional):
Cs (0.000, 0.103, 0.250) x4
Ti (0.000, 0.456, 0.250) x4
Tl (0.000, 0.304, 0.750) x4
O (0.000, 0.325, 0.250) x4
O (0.170, 0.468, 0.993) x8

- ΔE_f (raw) (meV/atom) = -2079
- E (eV/atom) = -6.410

***

(14)
First-principles (PBE) data for a relaxed structure of CsTiTlO4, as listed in Alexandria via LeMat-Bulk.

Lattice parameters (Å, degrees): 5.983 6.113 8.036 90.00 108.67 90.00
Space group P2_1/m (No. 11)
Symmetry-distinct sites (fractional):
Cs (0.220, 0.250, 0.449) x2
Ti (0.210, 0.750, 0.128) x2
Tl (0.323, 0.250, 0.964) x2
O (0.010, 0.750, 0.266) x2
O (0.024, 0.750, 0.911) x2
O (0.434, 0.521, 0.164) x4

- ΔE_f (raw) (meV/atom) = -1821
- E (eV/atom) = -6.242

***

(15)
First-principles (PBE) data for a relaxed structure of CsTmTi2O6, as listed in Alexandria via LeMat-Bulk.

Lattice parameters (Å, degrees): 9.423 12.737 6.572 90.00 110.23 90.00
Space group C2/c (No. 15)
Symmetry-distinct sites (fractional):
Cs (0.000, 0.103, 0.250) x4
Tm (0.000, 0.215, 0.750) x4
Ti (0.136, 0.428, 0.152) x8
O (0.065, 0.302, 0.038) x8
O (0.118, 0.475, 0.428) x8
O (0.162, 0.101, 0.745) x8

- ΔE_f (raw) (meV/atom) = -2930
- E (eV/atom) = -8.016